Entry w
## ZnSi2O (PBE-GGA)

Data for a geometry-optimized ZnSi2O structure.

space-group type = I-42d, No. 122

Unit cell a=4.4853 b=4.4853 c=12.0228 alpha=90.00 beta=90.00 gamma=90.00
With the nearest neighbours (Å) after each atom.
Fractional positions:
1 Zn 0.0000 0.0000 0.0000  4 Si 2.51
2 Zn 0.0000 0.5000 0.2500  4 Si 2.51
3 Zn 0.5000 0.0000 0.7500  4 Si 2.51
4 Zn 0.5000 0.5000 0.5000  4 Si 2.51
5 Si 0.1282 0.2500 0.6250  2 O 1.96
6 Si 0.2500 0.6282 0.8750  2 O 1.96
7 Si 0.2500 0.8718 0.3750  2 O 1.96
8 Si 0.3718 0.2500 0.1250  2 O 1.96
9 Si 0.6282 0.7500 0.1250  2 O 1.96
10 Si 0.7500 0.1282 0.3750  2 O 1.96
11 Si 0.7500 0.3718 0.8750  2 O 1.96
12 Si 0.8718 0.7500 0.6250  2 O 1.96
13 O 0.0000 0.0000 0.5000  4 Si 1.96
14 O 0.0000 0.5000 0.7500  4 Si 1.96
15 O 0.5000 0.0000 0.2500  4 Si 1.96
16 O 0.5000 0.5000 0.0000  4 Si 1.96


Entry x
## ZnSi2O (PBE-GGA)

Data for a geometry-optimized ZnSi2O structure.

space-group type = Fm-3m, No. 225

Unit cell a=5.9483 b=5.9483 c=5.9483 alpha=90.00 beta=90.00 gamma=90.00
With the nearest neighbours (Å) after each atom.
Fractional positions:
1 Zn 0.0000 0.0000 0.0000  8 Si 2.58
2 Zn 0.0000 0.5000 0.5000  8 Si 2.58
3 Zn 0.5000 0.0000 0.5000  8 Si 2.58
4 Zn 0.5000 0.5000 0.0000  8 Si 2.58
5 Si 0.2500 0.2500 0.2500  4 O 2.58, 4 Zn 2.58
6 Si 0.2500 0.2500 0.7500  4 O 2.58, 4 Zn 2.58
7 Si 0.2500 0.7500 0.2500  4 O 2.58, 4 Zn 2.58
8 Si 0.2500 0.7500 0.7500  4 O 2.58, 4 Zn 2.58
9 Si 0.7500 0.2500 0.2500  4 O 2.58, 4 Zn 2.58
10 Si 0.7500 0.2500 0.7500  4 O 2.58, 4 Zn 2.58
11 Si 0.7500 0.7500 0.2500  4 O 2.58, 4 Zn 2.58
12 Si 0.7500 0.7500 0.7500  4 O 2.58, 4 Zn 2.58
13 O 0.0000 0.0000 0.5000  8 Si 2.58
14 O 0.0000 0.5000 0.0000  8 Si 2.58
15 O 0.5000 0.0000 0.0000  8 Si 2.58
16 O 0.5000 0.5000 0.5000  8 Si 2.58


Ordering by calculated energy gives the sequence entry w, entry x, with the first entry being the most stable.


Entry w
## Zr2SiO (PBE-GGA)

Data for a geometry-optimized Zr2SiO structure.

space-group type = I-42d, No. 122

Unit cell a=5.4287 b=5.4287 c=10.9314 alpha=90.00 beta=90.00 gamma=90.00
With the nearest neighbours (Å) after each atom.
Fractional positions:
1 Zr 0.1759 0.2500 0.1250  2 O 2.15
2 Zr 0.2500 0.6759 0.3750  2 O 2.15
3 Zr 0.2500 0.8241 0.8750  2 O 2.15
4 Zr 0.3241 0.2500 0.6250  2 O 2.15
5 Zr 0.6759 0.7500 0.6250  2 O 2.15
6 Zr 0.7500 0.1759 0.8750  2 O 2.15
7 Zr 0.7500 0.3241 0.3750  2 O 2.15
8 Zr 0.8241 0.7500 0.1250  2 O 2.15
9 Si 0.0000 0.0000 0.5000  4 Zr 2.61
10 Si 0.0000 0.5000 0.7500  4 Zr 2.61
11 Si 0.5000 0.0000 0.2500  4 Zr 2.61
12 Si 0.5000 0.5000 0.0000  4 Zr 2.61
13 O 0.0000 0.0000 0.0000  4 Zr 2.15
14 O 0.0000 0.5000 0.2500  4 Zr 2.15
15 O 0.5000 0.0000 0.7500  4 Zr 2.15
16 O 0.5000 0.5000 0.5000  4 Zr 2.15


Entry x
## Zr2SiO (PBE-GGA)

Data for a geometry-optimized Zr2SiO structure.

space-group type = Fm-3m, No. 225

Unit cell a=6.3582 b=6.3582 c=6.3582 alpha=90.00 beta=90.00 gamma=90.00
With the nearest neighbours (Å) after each atom.
Fractional positions:
1 Zr 0.2500 0.2500 0.2500  4 Si 2.75, 4 O 2.75
2 Zr 0.2500 0.2500 0.7500  4 O 2.75, 4 Si 2.75
3 Zr 0.2500 0.7500 0.2500  4 O 2.75, 4 Si 2.75
4 Zr 0.2500 0.7500 0.7500  4 Si 2.75, 4 O 2.75
5 Zr 0.7500 0.2500 0.2500  4 O 2.75, 4 Si 2.75
6 Zr 0.7500 0.2500 0.7500  4 Si 2.75, 4 O 2.75
7 Zr 0.7500 0.7500 0.2500  4 Si 2.75, 4 O 2.75
8 Zr 0.7500 0.7500 0.7500  4 O 2.75, 4 Si 2.75
9 Si 0.0000 0.0000 0.0000  8 Zr 2.75
10 Si 0.0000 0.5000 0.5000  8 Zr 2.75
11 Si 0.5000 0.0000 0.5000  8 Zr 2.75
12 Si 0.5000 0.5000 0.0000  8 Zr 2.75
13 O 0.0000 0.0000 0.5000  8 Zr 2.75
14 O 0.0000 0.5000 0.0000  8 Zr 2.75
15 O 0.5000 0.0000 0.0000  8 Zr 2.75
16 O 0.5000 0.5000 0.5000  8 Zr 2.75


Ordering by calculated energy gives the sequence entry w, entry x, with the first entry being the most stable.


Entry w
## ZrSi3O (PBE-GGA)

Data for a geometry-optimized ZrSi3O structure.

space-group type = Pm-3m, No. 221

Unit cell a=5.0928 b=5.0928 c=5.0928 alpha=90.00 beta=90.00 gamma=90.00
With the nearest neighbours (Å) after each atom.
Fractional positions:
1 Zr 0.0000 0.0000 0.0000  6 Si 2.55
2 Si 0.0000 0.0000 0.5000  2 Zr 2.55
3 Si 0.0000 0.5000 0.0000  2 Zr 2.55
4 Si 0.5000 0.0000 0.0000  2 Zr 2.55
5 O 0.5000 0.5000 0.5000  12 Si 3.60


Entry x
## ZrSi3O (PBE-GGA)

Data for a geometry-optimized ZrSi3O structure.

space-group type = Pm-3m, No. 221

Unit cell a=4.1625 b=4.1625 c=4.1625 alpha=90.00 beta=90.00 gamma=90.00
With the nearest neighbours (Å) after each atom.
Fractional positions:
1 Zr 0.0000 0.0000 0.0000  12 Si 2.94
2 Si 0.0000 0.5000 0.5000  2 O 2.08
3 Si 0.5000 0.0000 0.5000  2 O 2.08
4 Si 0.5000 0.5000 0.0000  2 O 2.08
5 O 0.5000 0.5000 0.5000  6 Si 2.08


Ordering by calculated energy gives the sequence entry x, entry w, with the first entry being the most stable.


Entry w
## SmO (PBE-GGA)

Data for a geometry-optimized SmO structure.

space-group type = Fm-3m, No. 225

Unit cell a=4.9647 b=4.9647 c=4.9647 alpha=90.00 beta=90.00 gamma=90.00
With the nearest neighbours (Å) after each atom.
Fractional positions:
1 Sm 0.0000 0.0000 0.0000  6 O 2.48
2 Sm 0.0000 0.5000 0.5000  6 O 2.48
3 Sm 0.5000 0.0000 0.5000  6 O 2.48
4 Sm 0.5000 0.5000 0.0000  6 O 2.48
5 O 0.0000 0.0000 0.5000  6 Sm 2.48
6 O 0.0000 0.5000 0.0000  6 Sm 2.48
7 O 0.5000 0.0000 0.0000  6 Sm 2.48
8 O 0.5000 0.5000 0.5000  6 Sm 2.48


Entry x
## SmO (PBE-GGA)

Data for a geometry-optimized SmO structure.

space-group type = Cmcm, No. 63

Unit cell a=4.1071 b=7.0994 c=4.9881 alpha=90.00 beta=90.00 gamma=90.00
With the nearest neighbours (Å) after each atom.
Fractional positions:
1 Sm 0.0000 0.1668 0.2500  5 O 2.37-2.49
2 Sm 0.0000 0.8332 0.7500  5 O 2.37-2.49
3 Sm 0.5000 0.3332 0.7500  5 O 2.37-2.49
4 Sm 0.5000 0.6668 0.2500  5 O 2.37-2.49
5 O 0.0000 0.1671 0.7500  5 Sm 2.37-2.49
6 O 0.0000 0.8329 0.2500  5 Sm 2.37-2.49
7 O 0.5000 0.3329 0.2500  5 Sm 2.37-2.49
8 O 0.5000 0.6671 0.7500  5 Sm 2.37-2.49


Entry y
## SmO (PBE-GGA)

Data for a geometry-optimized SmO structure.

space-group type = P-6m2, No. 187

Unit cell a=3.3746 b=3.3746 c=3.1932 alpha=90.00 beta=90.00 gamma=120.00
With the nearest neighbours (Å) after each atom.
Fractional positions:
1 Sm 0.0000 0.0000 0.0000  6 O 2.52
2 O 0.3333 0.6667 0.5000  6 Sm 2.52


Ordering by calculated energy gives the sequence entry w, entry x, entry y, with the first entry being the most stable.


Entry w
## Sm4Sn2O (PBE-GGA)

Data for a geometry-optimized Sm4Sn2O structure.

space-group type = P2_1/m, No. 11

Unit cell a=6.5274 b=6.8200 c=9.3720 alpha=90.00 beta=110.40 gamma=90.00
With the nearest neighbours (Å) after each atom.
Fractional positions:
1 Sm 0.0336 0.0029 0.2923  1 O 2.25
2 Sm 0.0336 0.4971 0.2923  1 O 2.25
3 Sm 0.3545 0.2500 0.0488  1 O 2.29
4 Sm 0.4335 0.2500 0.6583  1 O 2.27
5 Sm 0.5665 0.7500 0.3417  1 O 2.27
6 Sm 0.6455 0.7500 0.9512  1 O 2.29
7 Sm 0.9664 0.5029 0.7077  1 O 2.25
8 Sm 0.9664 0.9971 0.7077  1 O 2.25
9 Sn 0.1918 0.7500 0.0283  7 Sm 3.10-3.46
10 Sn 0.3348 0.7500 0.5965  8 Sm 3.23-3.48
11 Sn 0.6652 0.2500 0.4035  8 Sm 3.23-3.48
12 Sn 0.8082 0.2500 0.9717  7 Sm 3.10-3.46
13 O 0.1994 0.2500 0.7893  4 Sm 2.25-2.29
14 O 0.8006 0.7500 0.2107  4 Sm 2.25-2.29


Entry x
## Sm4Sn2O (PBE-GGA)

Data for a geometry-optimized Sm4Sn2O structure.

space-group type = I4/mmm, No. 139

Unit cell a=4.6922 b=4.6922 c=17.1182 alpha=90.00 beta=90.00 gamma=90.00
With the nearest neighbours (Å) after each atom.
Fractional positions:
1 Sm 0.0000 0.0000 0.1737  1 O 2.97, 1 Sn 3.20
2 Sm 0.0000 0.0000 0.8263  1 O 2.97, 1 Sn 3.20
3 Sm 0.0000 0.5000 0.0000  2 O 2.35
4 Sm 0.0000 0.5000 0.5000  2 O 2.35
5 Sm 0.5000 0.0000 0.0000  2 O 2.35
6 Sm 0.5000 0.0000 0.5000  2 O 2.35
7 Sm 0.5000 0.5000 0.3263  1 O 2.97, 1 Sn 3.20
8 Sm 0.5000 0.5000 0.6737  1 O 2.97, 1 Sn 3.20
9 Sn 0.0000 0.0000 0.3607  9 Sm 3.20-3.37
10 Sn 0.0000 0.0000 0.6393  9 Sm 3.20-3.37
11 Sn 0.5000 0.5000 0.1393  9 Sm 3.20-3.37
12 Sn 0.5000 0.5000 0.8607  9 Sm 3.20-3.37
13 O 0.0000 0.0000 0.0000  4 Sm 2.35
14 O 0.5000 0.5000 0.5000  4 Sm 2.35


Ordering by calculated energy gives the sequence entry x, entry w, with the first entry being the most stable.


Entry w
## SrSm2O4 (PBE-GGA)

Data for a geometry-optimized SrSm2O4 structure.

space-group type = Cmcm, No. 63

Unit cell a=6.0198 b=6.0198 c=11.3957 alpha=90.00 beta=90.00 gamma=146.51
With the nearest neighbours (Å) after each atom.
Fractional positions:
1 Sr 0.1119 0.8881 0.7500  2 O 2.45
2 Sr 0.8881 0.1119 0.2500  2 O 2.45
3 Sm 0.3674 0.6326 0.5739  6 O 2.28-2.46
4 Sm 0.3674 0.6326 0.9261  6 O 2.28-2.46
5 Sm 0.6326 0.3674 0.0739  6 O 2.28-2.46
6 Sm 0.6326 0.3674 0.4261  6 O 2.28-2.46
7 O 0.0000 0.0000 0.0000  4 Sm 2.46
8 O 0.0000 0.0000 0.5000  4 Sm 2.46
9 O 0.2641 0.7359 0.1103  3 Sm 2.34-2.41
10 O 0.2641 0.7359 0.3897  3 Sm 2.34-2.41
11 O 0.4615 0.5385 0.7500  2 Sm 2.28, 2 Sr 2.45
12 O 0.5385 0.4615 0.2500  2 Sm 2.28, 2 Sr 2.45
13 O 0.7359 0.2641 0.6103  3 Sm 2.34-2.41
14 O 0.7359 0.2641 0.8897  3 Sm 2.34-2.41


Entry x
## SrSm2O4 (PBE-GGA)

Data for a geometry-optimized SrSm2O4 structure.

space-group type = Fd-3m, No. 227

Unit cell a=7.1194 b=7.1194 c=7.1194 alpha=60.00 beta=60.00 gamma=60.00
With the nearest neighbours (Å) after each atom.
Fractional positions:
1 Sr 0.1250 0.1250 0.1250  4 O 2.45
2 Sr 0.8750 0.8750 0.8750  4 O 2.45
3 Sm 0.0000 0.5000 0.5000  6 O 2.37
4 Sm 0.5000 0.0000 0.5000  6 O 2.37
5 Sm 0.5000 0.5000 0.0000  6 O 2.37
6 Sm 0.5000 0.5000 0.5000  6 O 2.37
7 O 0.2654 0.2654 0.2654  3 Sm 2.37, 1 Sr 2.45
8 O 0.2654 0.2654 0.7037  3 Sm 2.37, 1 Sr 2.45
9 O 0.2654 0.7037 0.2654  3 Sm 2.37, 1 Sr 2.45
10 O 0.2963 0.7346 0.7346  3 Sm 2.37, 1 Sr 2.45
11 O 0.7037 0.2654 0.2654  3 Sm 2.37, 1 Sr 2.45
12 O 0.7346 0.2963 0.7346  3 Sm 2.37, 1 Sr 2.45
13 O 0.7346 0.7346 0.2963  3 Sm 2.37, 1 Sr 2.45
14 O 0.7346 0.7346 0.7346  3 Sm 2.37, 1 Sr 2.45


Entry y
## SrSm2O4 (PBE-GGA)

Data for a geometry-optimized SrSm2O4 structure.

space-group type = Pnma, No. 62

Unit cell a=10.2914 b=3.5314 c=12.2549 alpha=90.00 beta=90.00 gamma=90.00
With the nearest neighbours (Å) after each atom.
Fractional positions:
1 Sr 0.2482 0.2500 0.1474  7 O 2.66-2.77
2 Sr 0.2518 0.7500 0.6474  7 O 2.66-2.77
3 Sr 0.7482 0.2500 0.3526  7 O 2.66-2.77
4 Sr 0.7518 0.7500 0.8526  7 O 2.66-2.77
5 Sm 0.0739 0.2500 0.8866  6 O 2.27-2.47
6 Sm 0.0830 0.2500 0.3887  6 O 2.32-2.42
7 Sm 0.4170 0.7500 0.8887  6 O 2.32-2.42
8 Sm 0.4261 0.7500 0.3866  6 O 2.27-2.47
9 Sm 0.5739 0.2500 0.6134  6 O 2.27-2.47
10 Sm 0.5830 0.2500 0.1113  6 O 2.32-2.42
11 Sm 0.9170 0.7500 0.6113  6 O 2.32-2.42
12 Sm 0.9261 0.7500 0.1134  6 O 2.27-2.47
13 O 0.0071 0.7500 0.7847  3 Sm 2.27-2.32
14 O 0.0730 0.2500 0.5798  3 Sm 2.34-2.42
15 O 0.1310 0.7500 0.0187  3 Sm 2.41-2.47, 2 Sr 2.66
16 O 0.2146 0.7500 0.3192  3 Sm 2.33-2.38
17 O 0.2854 0.2500 0.8192  3 Sm 2.33-2.38
18 O 0.3690 0.2500 0.5187  3 Sm 2.41-2.47, 2 Sr 2.66
19 O 0.4270 0.7500 0.0798  3 Sm 2.34-2.42
20 O 0.4929 0.2500 0.2847  3 Sm 2.27-2.32
21 O 0.5071 0.7500 0.7153  3 Sm 2.27-2.32
22 O 0.5730 0.2500 0.9202  3 Sm 2.34-2.42
23 O 0.6310 0.7500 0.4813  3 Sm 2.41-2.47, 2 Sr 2.66
24 O 0.7146 0.7500 0.1808  3 Sm 2.33-2.38
25 O 0.7854 0.2500 0.6808  3 Sm 2.33-2.38
26 O 0.8690 0.2500 0.9813  3 Sm 2.41-2.47, 2 Sr 2.66
27 O 0.9270 0.7500 0.4202  3 Sm 2.34-2.42
28 O 0.9929 0.2500 0.2153  3 Sm 2.27-2.32


Ordering by calculated energy gives the sequence entry x, entry y, entry w, with the first entry being the most stable.


Entry w
## SrSmO (PBE-GGA)

Data for a geometry-optimized SrSmO structure.

space-group type = C2/m, No. 12

Unit cell a=12.9546 b=12.9546 c=8.0439 alpha=92.15 beta=92.15 gamma=18.13
With the nearest neighbours (Å) after each atom.
Fractional positions:
1 Sr 0.0668 0.0668 0.3534  9 Sr 4.08-4.53, 2 Sm 4.11-4.12
2 Sr 0.4263 0.4263 0.1429  9 Sr 4.08-4.53, 4 Sm 4.44-4.47
3 Sr 0.5737 0.5737 0.8571  9 Sr 4.08-4.53, 4 Sm 4.44-4.47
4 Sr 0.9332 0.9332 0.6466  9 Sr 4.08-4.53, 2 Sm 4.11-4.12
5 Sm 0.2068 0.2068 0.1195  4 O 2.29-2.32
6 Sm 0.2074 0.2074 0.6202  4 O 2.29-2.31
7 Sm 0.7926 0.7926 0.3798  4 O 2.29-2.31
8 Sm 0.7932 0.7932 0.8805  4 O 2.29-2.32
9 O 0.2503 0.2503 0.3742  4 Sm 2.29-2.31
10 O 0.2504 0.2504 0.8758  4 Sm 2.29-2.32
11 O 0.7496 0.7496 0.1242  4 Sm 2.29-2.32
12 O 0.7497 0.7497 0.6258  4 Sm 2.29-2.31


Entry x
## SrSmO (PBE-GGA)

Data for a geometry-optimized SrSmO structure.

space-group type = P-6m2, No. 187

Unit cell a=3.9233 b=3.9233 c=7.3014 alpha=90.00 beta=90.00 gamma=120.00
With the nearest neighbours (Å) after each atom.
Fractional positions:
1 Sr 0.0000 0.0000 0.0000  6 Sr 3.92, 6 O 4.30, 6 Sm 4.30
2 Sm 0.6667 0.3333 0.5000  3 O 2.27
3 O 0.3333 0.6667 0.5000  3 Sm 2.27


Ordering by calculated energy gives the sequence entry w, entry x, with the first entry being the most stable.


Entry w
## Sr2SmUO6 (PBE-GGA)

Data for a geometry-optimized Sr2SmUO6 structure.

space-group type = P2_1/c, No. 14

Unit cell a=6.0306 b=6.1878 c=10.5178 alpha=90.00 beta=124.92 gamma=90.00
With the nearest neighbours (Å) after each atom.
Fractional positions:
1 Sr 0.2389 0.0454 0.2512  4 O 2.51-2.64
2 Sr 0.2389 0.4546 0.7512  4 O 2.51-2.64
3 Sr 0.7611 0.5454 0.2488  4 O 2.51-2.64
4 Sr 0.7611 0.9546 0.7488  4 O 2.51-2.64
5 Sm 0.5000 0.0000 0.0000  6 O 2.34-2.35
6 Sm 0.5000 0.5000 0.5000  6 O 2.34-2.35
7 U 0.0000 0.0000 0.5000  6 O 2.16-2.18
8 U 0.0000 0.5000 0.0000  6 O 2.16-2.18
9 O 0.1303 0.2128 0.9398  1 U 2.18, 1 Sm 2.34
10 O 0.1303 0.2872 0.4398  1 U 2.18, 1 Sm 2.34
11 O 0.2352 0.6921 0.9467  1 U 2.16, 1 Sm 2.34
12 O 0.2352 0.8079 0.4467  1 U 2.16, 1 Sm 2.34
13 O 0.3450 0.0436 0.7393  1 U 2.18, 1 Sm 2.35
14 O 0.3450 0.4564 0.2393  1 U 2.18, 1 Sm 2.35
15 O 0.6550 0.5436 0.7607  1 U 2.18, 1 Sm 2.35
16 O 0.6550 0.9564 0.2607  1 U 2.18, 1 Sm 2.35
17 O 0.7648 0.1921 0.5533  1 U 2.16, 1 Sm 2.34
18 O 0.7648 0.3079 0.0533  1 U 2.16, 1 Sm 2.34
19 O 0.8697 0.7128 0.5602  1 U 2.18, 1 Sm 2.34
20 O 0.8697 0.7872 0.0602  1 U 2.18, 1 Sm 2.34


Entry x
## Sr2SmUO6 (PBE-GGA)

Data for a geometry-optimized Sr2SmUO6 structure.

space-group type = Fm-3m, No. 225

Unit cell a=6.2361 b=6.2361 c=6.2361 alpha=60.00 beta=60.00 gamma=60.00
With the nearest neighbours (Å) after each atom.
Fractional positions:
1 Sr 0.2500 0.2500 0.2500  12 O 3.12
2 Sr 0.7500 0.7500 0.7500  12 O 3.12
3 Sm 0.0000 0.0000 0.0000  6 O 2.27
4 U 0.5000 0.5000 0.5000  6 O 2.14
5 O 0.2578 0.2578 0.7422  1 U 2.14, 1 Sm 2.27
6 O 0.2578 0.7422 0.2578  1 U 2.14, 1 Sm 2.27
7 O 0.2578 0.7422 0.7422  1 U 2.14, 1 Sm 2.27
8 O 0.7422 0.2578 0.2578  1 U 2.14, 1 Sm 2.27
9 O 0.7422 0.2578 0.7422  1 U 2.14, 1 Sm 2.27
10 O 0.7422 0.7422 0.2578  1 U 2.14, 1 Sm 2.27


Ordering by calculated energy gives the sequence entry w, entry x, with the first entry being the most stable.